Below is a geometry-optimized Dy2ZnRh structure, with properties calculated at the PBEsol level.

Space group: No. 225
Formation enthalpy at 0 K in kJ/mol of formula units: -222
M_tot in μB per cell: 0.0

Lattice parameters (Å, degrees): 4.847 4.847 4.847 60.00 60.00 60.00
Element x y z (fractional)
Dy 0.250 0.250 0.250
Rh 0.000 0.000 0.000
Dy 0.750 0.750 0.750
Zn 0.500 0.500 0.500

---

Below is a geometry-optimized CaNdAl3O7 structure, with properties calculated at the PBEsol level.

Space group: No. 35
M_tot in μB per cell: 0.0
Uncorrected formation energy in eV per atom: -3.149

Lattice parameters (Å, degrees): 5.098 7.750 7.750 90.98 90.00 90.00
Element x y z (fractional)
O 0.197 0.595 0.158
Ca 0.518 0.659 0.659
Al 0.042 0.642 0.358
O 0.197 0.842 0.405
Al 0.042 0.358 0.642
Al 0.961 0.146 0.146
O 0.797 0.912 0.663
Al 0.994 0.000 0.500
O 0.197 0.158 0.595
Nd 0.491 0.838 0.162
O 0.702 0.355 0.645
O 0.190 0.500 0.500
O 0.197 0.405 0.842
O 0.813 0.000 0.000
Nd 0.491 0.162 0.838
O 0.302 0.137 0.137
Al 0.961 0.854 0.854
O 0.302 0.863 0.863
O 0.797 0.663 0.912
O 0.797 0.088 0.337
Ca 0.518 0.341 0.341
O 0.702 0.645 0.355
Al 0.994 0.500 0.000
O 0.797 0.337 0.088

---

Below is a geometry-optimized BaPt structure, with properties calculated at the PBEsol level.

Space group: No. 194
Formation enthalpy at 0 K in kJ/mol of formula units: -131
M_tot in μB per cell: 0.0

Lattice parameters (Å, degrees): 5.070 5.070 5.359 90.00 90.00 120.00
Element x y z (fractional)
Ba 0.667 0.333 0.250
Pt 0.000 0.000 0.000
Pt 0.000 0.000 0.500
Ba 0.333 0.667 0.750